[1]
## BaNdTiO4 (GGA-PBE)

Data for a geometry-optimized BaNdTiO4 structure.

Cell lengths 3.972, 3.972, 13.090 Å; angles 90.00, 90.00, 90.00 degrees
Space group I4mm (No. 107)
Inequivalent atoms, fractional coordinates:
Ba  0.000  0.000  0.000
Nd  0.000  0.000  0.713
Ti  0.000  0.000  0.347
O  0.000  0.000  0.193
O  0.000  0.000  0.535
O  0.000  0.500  0.342

Calculated values
- raw formation energy (eV/f.u.) = -20.617
- crystal system = tetragonal

***

[2]
## HoErCS (GGA-PBE)

Data for a geometry-optimized HoErCS structure.

Cell lengths 3.6862, 3.6862, 18.9120 Å; angles 90.00, 90.00, 120.00 degrees
Space group R3m (No. 160, hexagonal axes)
Inequivalent atoms, fractional coordinates:
Ho  0.0000  0.0000  0.0000
Er  0.0000  0.0000  0.5259
C  0.0000  0.0000  0.2628
S  0.0000  0.0000  0.7636

Calculated values
- raw formation energy (eV/f.u.) = -5.237
- crystal system = trigonal

***

[3]
## Cs2SiCl6O (GGA-PBE)

Data for a geometry-optimized Cs2SiCl6O structure.

Cell lengths 7.294, 7.294, 10.977 Å; angles 90.00, 90.00, 90.00 degrees
Space group I4/mmm (No. 139)
Inequivalent atoms, fractional coordinates:
Cs  0.000  0.500  0.250
Si  0.000  0.000  0.000
Cl  0.000  0.000  0.203
Cl  0.218  0.218  0.000
O  0.000  0.000  0.500

Calculated values
- raw formation energy (eV/f.u.) = -11.008
- crystal system = tetragonal

***

[4]
## Be2NbZn2 (GGA-PBE)

Data for a geometry-optimized Be2NbZn2 structure.

Cell lengths 6.932, 6.932, 2.631 Å; angles 90.00, 90.00, 90.00 degrees
Space group P4/mbm (No. 127)
Inequivalent atoms, fractional coordinates:
Be  0.128  0.372  0.000
Nb  0.000  0.000  0.000
Zn  0.166  0.666  0.500

Calculated values
- energy above the most stable polymorph in this dataset (meV per atom) = 0
- crystal system = tetragonal

***

[5]
## BeTlSb3 (GGA-PBE)

Data for a geometry-optimized BeTlSb3 structure.

Cell lengths 5.704, 5.704, 5.704 Å; angles 90.00, 90.00, 90.00 degrees
Space group Pm-3m (No. 221)
Inequivalent atoms, fractional coordinates:
Be  0.000  0.000  0.000
Tl  0.500  0.500  0.500
Sb  0.000  0.500  0.500

Calculated values
- energy above the most stable polymorph in this dataset (meV per atom) = 1088
- raw formation energy (eV/f.u.) = 7.357
- crystal system = cubic

***

[6]
## Mn4TlHg (GGA-PBE)

Data for a geometry-optimized Mn4TlHg structure.

Cell lengths 7.552, 7.552, 7.552 Å; angles 90.00, 90.00, 90.00 degrees
Space group F-43m (No. 216)
Inequivalent atoms, fractional coordinates:
Mn  0.125  0.125  0.125
Tl  0.000  0.000  0.500
Hg  0.250  0.250  0.750

Calculated values
- uncorrected energy (eV per cell) = -143.592
- crystal system = cubic

***

[7]
## Cs2RbNb (GGA-PBE)

Data for a geometry-optimized Cs2RbNb structure.

Cell lengths 9.506, 9.506, 9.506 Å; angles 90.00, 90.00, 90.00 degrees
Space group Fm-3m (No. 225)
Inequivalent atoms, fractional coordinates:
Cs  0.250  0.250  0.250
Rb  0.000  0.000  0.000
Nb  0.000  0.000  0.500

Calculated values
- uncorrected energy (eV per cell) = -32.030
- crystal system = cubic

***

[8]
## YAlAsCl2 (GGA-PBE)

Data for a geometry-optimized YAlAsCl2 structure.

Cell lengths 5.001, 5.001, 5.845 Å; angles 90.00, 90.00, 90.00 degrees
Space group P4/mmm (No. 123)
Inequivalent atoms, fractional coordinates:
Y  0.000  0.000  0.000
Al  0.500  0.500  0.000
As  0.000  0.000  0.500
Cl  0.000  0.500  0.500

Calculated values
- raw formation energy (eV/f.u.) = -0.235
- crystal system = tetragonal

***

[9]
## Ce3Nd3SmSe8 (GGA-PBE)

Data for a geometry-optimized Ce3Nd3SmSe8 structure.

Cell lengths 8.4150, 8.4150, 20.6272 Å; angles 90.00, 90.00, 120.00 degrees
Space group R-3m (No. 166, hexagonal axes)
Inequivalent atoms, fractional coordinates:
Ce  0.0000  0.5000  0.0000
Nd  0.0000  0.5000  0.5000
Sm  0.0000  0.0000  0.0000
Se  0.0000  0.0000  0.2505
Se  0.0011  0.5005  0.2503

Calculated values
- raw formation energy (eV/f.u.) = -27.942
- crystal system = trigonal

***

[10]
## MgAlZn2 (GGA-PBE)

Data for a geometry-optimized MgAlZn2 structure.

Cell lengths 4.120, 4.120, 3.962 Å; angles 90.00, 90.00, 90.00 degrees
Space group P4/mmm (No. 123)
Inequivalent atoms, fractional coordinates:
Mg  0.000  0.000  0.000
Al  0.500  0.500  0.000
Zn  0.000  0.500  0.500

Calculated values
- uncorrected energy (eV per cell) = -8.007
- crystal system = tetragonal

***

[11]
## Sm2GeBr (GGA-PBE)

Data for a geometry-optimized Sm2GeBr structure.

Cell lengths 4.2630, 4.2630, 21.5018 Å; angles 90.00, 90.00, 120.00 degrees
Space group R-3m (No. 166, hexagonal axes)
Inequivalent atoms, fractional coordinates:
Sm  0.0000  0.0000  0.2373
Ge  0.0000  0.0000  0.5000
Br  0.0000  0.0000  0.0000

Calculated values
- energy above the most stable polymorph in this dataset (meV per atom) = 0
- raw formation energy (eV/f.u.) = -4.537
- crystal system = trigonal

***

[12]
## Y2Ag2RhO6 (GGA-PBE)

Data for a geometry-optimized Y2Ag2RhO6 structure.

Cell lengths 5.784, 10.219, 6.406 Å; angles 90.00, 100.59, 90.00 degrees
Space group C2/m (No. 12)
Inequivalent atoms, fractional coordinates:
Y  0.000  0.162  0.000
Ag  0.000  0.352  0.500
Rh  0.000  0.500  0.000
O  0.113  0.345  0.830
O  0.165  0.000  0.843

Calculated values
- raw formation energy (eV/f.u.) = -18.938
- crystal system = monoclinic

***

[13]
## CaMgTlCu (GGA-PBE)

Data for a geometry-optimized CaMgTlCu structure.

Cell lengths 7.121, 7.121, 7.121 Å; angles 90.00, 90.00, 90.00 degrees
Space group F-43m (No. 216)
Inequivalent atoms, fractional coordinates:
Ca  0.000  0.000  0.000
Mg  0.000  0.000  0.500
Tl  0.250  0.250  0.750
Cu  0.250  0.250  0.250

Calculated values
- uncorrected energy (eV per cell) = -42.117
- crystal system = cubic